! CaEuGa2 | Alexandria | GGA-PBE | relaxed; values from VASP
! Total energy = -20.156 eV for the cell shown
! Fermi-level density of states = 0.2914 states/eV per atom
&SYSTEM
  ibrav = 0, nat = 4, ntyp = 3
/
ATOMIC_SPECIES
Ca 40.08 Ca.upf
Eu 151.96 Eu.upf
Ga 69.72 Ga.upf
CELL_PARAMETERS angstrom
5.248 -0.003 0.005
2.621 4.544 0.003
2.627 1.514 4.288
ATOMIC_POSITIONS crystal
Ca 0.750 0.750 0.750
Eu 0.250 0.250 0.250
Ga 0.500 0.500 0.500
Ga 0.000 0.000 0.000

=====

! CaEu2Ga | Alexandria | GGA-PBE | relaxed; values from VASP
! Total energy = -26.072 eV for the cell shown
! Offset from the most stable computed form = 0.1287 eV per atom
! Fermi-level density of states = 3.3275 states/eV per atom
&SYSTEM
  ibrav = 0, nat = 4, ntyp = 3
/
ATOMIC_SPECIES
Eu 151.96 Eu.upf
Ca 40.08 Ca.upf
Ga 69.72 Ga.upf
CELL_PARAMETERS angstrom
3.877 0.000 0.000
1.938 3.357 0.000
1.938 1.119 11.117
ATOMIC_POSITIONS crystal
Eu 0.734 0.734 0.798
Eu 0.266 0.266 0.202
Ca 0.500 0.500 0.500
Ga 0.000 0.000 0.000

=====

! CaEu2Ga | Alexandria | GGA-PBE | relaxed; values from VASP
! Total energy = -26.074 eV for the cell shown
! Offset from the most stable computed form = 0.1283 eV per atom
! Fermi-level density of states = 2.7015 states/eV per atom
&SYSTEM
  ibrav = 0, nat = 4, ntyp = 3
/
ATOMIC_SPECIES
Ca 40.08 Ca.upf
Ga 69.72 Ga.upf
Eu 151.96 Eu.upf
CELL_PARAMETERS angstrom
4.948 0.000 0.000
0.000 5.045 0.000
0.000 0.000 5.045
ATOMIC_POSITIONS crystal
Ca 0.500 0.000 0.000
Ga 0.500 0.500 0.500
Eu 0.000 0.000 0.500
Eu 0.000 0.500 0.000

=====

! Ca2EuGa | Alexandria | GGA-PBE | relaxed; values from VASP
! Total energy = -17.755 eV for the cell shown
! Offset from the most stable computed form = 0.0953 eV per atom
! Fermi-level density of states = 2.3849 states/eV per atom
&SYSTEM
  ibrav = 0, nat = 4, ntyp = 3
/
ATOMIC_SPECIES
Ca 40.08 Ca.upf
Ga 69.72 Ga.upf
Eu 151.96 Eu.upf
CELL_PARAMETERS angstrom
3.880 0.000 0.000
1.940 3.360 0.000
1.940 1.120 10.965
ATOMIC_POSITIONS crystal
Ca 0.731 0.731 0.806
Ca 0.269 0.269 0.194
Ga 0.000 0.000 0.000
Eu 0.500 0.500 0.500

=====

! CaEuGa2 | Alexandria | GGA-PBE | relaxed; values from VASP
! Total energy = -20.143 eV for the cell shown
! Fermi-level density of states = 1.6325 states/eV per atom
&SYSTEM
  ibrav = 0, nat = 4, ntyp = 3
/
ATOMIC_SPECIES
Ga 69.72 Ga.upf
Eu 151.96 Eu.upf
Ca 40.08 Ca.upf
CELL_PARAMETERS angstrom
3.695 0.000 0.000
0.000 3.695 0.000
0.000 0.000 7.501
ATOMIC_POSITIONS crystal
Ga 0.000 0.000 0.736
Ga 0.000 0.000 0.264
Eu 0.500 0.500 0.000
Ca 0.500 0.500 0.500

=====

! Ca2EuGa | Alexandria | GGA-PBE | relaxed; values from VASP
! Total energy = -17.814 eV for the cell shown
! Offset from the most stable computed form = 0.0805 eV per atom
! Fermi-level density of states = 3.0745 states/eV per atom
&SYSTEM
  ibrav = 0, nat = 4, ntyp = 3
/
ATOMIC_SPECIES
Eu 151.96 Eu.upf
Ca 40.08 Ca.upf
Ga 69.72 Ga.upf
CELL_PARAMETERS angstrom
-2.804 2.528 -3.544
2.598 -2.158 -3.596
-3.232 -3.725 -0.100
ATOMIC_POSITIONS crystal
Eu 0.500 0.500 0.500
Ca 0.000 0.000 0.500
Ca 0.000 0.500 0.000
Ga 0.500 0.000 0.000

=====

! Ca2EuGa | Alexandria | GGA-PBE | relaxed; values from VASP
! Total energy = -17.648 eV for the cell shown
! Offset from the most stable computed form = 0.1221 eV per atom
! Fermi-level density of states = 0.6245 states/eV per atom
&SYSTEM
  ibrav = 0, nat = 4, ntyp = 3
/
ATOMIC_SPECIES
Ca 40.08 Ca.upf
Eu 151.96 Eu.upf
Ga 69.72 Ga.upf
CELL_PARAMETERS angstrom
-5.300 -0.539 -1.690
-1.777 -4.856 -2.120
-3.551 -3.187 2.911
ATOMIC_POSITIONS crystal
Ca 0.750 0.750 0.750
Ca 0.250 0.250 0.250
Eu 0.000 0.000 0.000
Ga 0.500 0.500 0.500

=====

! CaEu2Ga | Alexandria | GGA-PBE | relaxed; values from VASP
! Total energy = -26.027 eV for the cell shown
! Offset from the most stable computed form = 0.1400 eV per atom
! Fermi-level density of states = 2.6238 states/eV per atom
&SYSTEM
  ibrav = 0, nat = 4, ntyp = 3
/
ATOMIC_SPECIES
Ga 69.72 Ga.upf
Ca 40.08 Ca.upf
Eu 151.96 Eu.upf
CELL_PARAMETERS angstrom
5.636 0.000 0.000
2.818 4.881 0.000
2.818 1.627 4.601
ATOMIC_POSITIONS crystal
Ga 0.500 0.500 0.500
Ca 0.000 0.000 0.000
Eu 0.750 0.750 0.750
Eu 0.250 0.250 0.250